Model a:
HfZr2Be2 | SCAN | PBEsol geometry

```
data_HfZr2Be2
_chemical_formula_sum 'Hf1 Zr2 Be2'
_symmetry_space_group_name_H-M 'P 1'
_symmetry_Int_Tables_number 1
_symmetry_space_group_name_Hall 'P 1'
_cell_length_a 5.8326
_cell_length_b 5.8326
_cell_length_c 5.8326
_cell_angle_alpha 138.25
_cell_angle_beta 138.25
_cell_angle_gamma 60.52
loop_
_atom_site_label
_atom_site_type_symbol
_atom_site_fract_x
_atom_site_fract_y
_atom_site_fract_z
Hf1 Hf 0.0000 0.0000 0.0000
Zr1 Zr 0.3675 0.3675 0.0000
Zr2 Zr 0.6325 0.6325 0.0000
Be1 Be 0.2500 0.7500 0.5000
Be2 Be 0.7500 0.2500 0.5000
```

=====

Model b:
HfZr2Be2 | SCAN | PBEsol geometry

```
data_HfZr2Be2
_chemical_formula_sum 'Hf2 Zr4 Be4'
_symmetry_space_group_name_H-M 'P 1'
_symmetry_Int_Tables_number 1
_symmetry_space_group_name_Hall 'P 1'
_cell_length_a 7.2234
_cell_length_b 7.2234
_cell_length_c 3.1982
_cell_angle_alpha 90.00
_cell_angle_beta 90.00
_cell_angle_gamma 90.00
loop_
_atom_site_label
_atom_site_type_symbol
_atom_site_fract_x
_atom_site_fract_y
_atom_site_fract_z
Hf1 Hf 0.0000 0.0000 0.0000
Hf2 Hf 0.5000 0.5000 0.0000
Zr1 Zr 0.1791 0.3209 0.5000
Zr2 Zr 0.3209 0.8209 0.5000
Zr3 Zr 0.6791 0.1791 0.5000
Zr4 Zr 0.8209 0.6791 0.5000
Be1 Be 0.1115 0.6115 0.0000
Be2 Be 0.3885 0.1115 0.0000
Be3 Be 0.6115 0.8885 0.0000
Be4 Be 0.8885 0.3885 0.0000
```

=====

Of them, model b has the highest stability.

=====

Model a:
Li2BeHg | SCAN | PBEsol geometry

```
data_Li2BeHg
_chemical_formula_sum 'Li2 Be1 Hg1'
_symmetry_space_group_name_H-M 'P 1'
_symmetry_Int_Tables_number 1
_symmetry_space_group_name_Hall 'P 1'
_cell_length_a 2.9631
_cell_length_b 3.3911
_cell_length_c 5.9295
_cell_angle_alpha 90.00
_cell_angle_beta 90.00
_cell_angle_gamma 90.00
loop_
_atom_site_label
_atom_site_type_symbol
_atom_site_fract_x
_atom_site_fract_y
_atom_site_fract_z
Li1 Li 0.0000 0.0000 0.0000
Li2 Li 0.5000 0.5000 0.2728
Be1 Be 0.0000 0.0000 0.5106
Hg1 Hg 0.5000 0.5000 0.7339
```

=====

Model b:
Li2BeHg | SCAN | PBEsol geometry

```
data_Li2BeHg
_chemical_formula_sum 'Li2 Be1 Hg1'
_symmetry_space_group_name_H-M 'P 1'
_symmetry_Int_Tables_number 1
_symmetry_space_group_name_Hall 'P 1'
_cell_length_a 2.8203
_cell_length_b 4.3535
_cell_length_c 4.8530
_cell_angle_alpha 90.00
_cell_angle_beta 90.26
_cell_angle_gamma 90.00
loop_
_atom_site_label
_atom_site_type_symbol
_atom_site_fract_x
_atom_site_fract_y
_atom_site_fract_z
Li1 Li 0.0000 0.0000 0.0000
Li2 Li 0.0070 0.5000 0.6910
Be1 Be 0.5069 0.5000 0.2036
Hg1 Hg 0.5030 0.0000 0.4800
```

=====

Of them, model b has the highest stability.

=====

Model a:
Be2HgN | SCAN | PBEsol geometry

```
data_Be2HgN
_chemical_formula_sum 'Be4 Hg2 N2'
_symmetry_space_group_name_H-M 'P 1'
_symmetry_Int_Tables_number 1
_symmetry_space_group_name_Hall 'P 1'
_cell_length_a 5.1621
_cell_length_b 5.1621
_cell_length_c 5.1621
_cell_angle_alpha 120.07
_cell_angle_beta 120.07
_cell_angle_gamma 89.87
loop_
_atom_site_label
_atom_site_type_symbol
_atom_site_fract_x
_atom_site_fract_y
_atom_site_fract_z
Be1 Be 0.3750 0.2068 0.3318
Be2 Be 0.7932 0.1250 0.1682
Be3 Be 0.8750 0.0432 0.6682
Be4 Be 0.9568 0.6250 0.8318
Hg1 Hg 0.2500 0.7500 0.5000
Hg2 Hg 0.5000 0.5000 0.0000
N1 N 0.0000 0.0000 0.0000
N2 N 0.7500 0.2500 0.5000
```

=====

Model b:
Be2HgN | SCAN | PBEsol geometry

```
data_Be2HgN
_chemical_formula_sum 'Be2 Hg1 N1'
_symmetry_space_group_name_H-M 'P 1'
_symmetry_Int_Tables_number 1
_symmetry_space_group_name_Hall 'P 1'
_cell_length_a 4.0110
_cell_length_b 4.0110
_cell_length_c 4.0110
_cell_angle_alpha 60.00
_cell_angle_beta 60.00
_cell_angle_gamma 60.00
loop_
_atom_site_label
_atom_site_type_symbol
_atom_site_fract_x
_atom_site_fract_y
_atom_site_fract_z
Be1 Be 0.2500 0.2500 0.2500
Be2 Be 0.7500 0.7500 0.7500
Hg1 Hg 0.0000 0.0000 0.0000
N1 N 0.5000 0.5000 0.5000
```

=====

Of them, model a has the highest stability.

=====

Model a:
BeHg2Pt | SCAN | PBEsol geometry

```
data_BeHg2Pt
_chemical_formula_sum 'Be1 Hg2 Pt1'
_symmetry_space_group_name_H-M 'P 1'
_symmetry_Int_Tables_number 1
_symmetry_space_group_name_Hall 'P 1'
_cell_length_a 2.8841
_cell_length_b 2.8841
_cell_length_c 8.1028
_cell_angle_alpha 90.00
_cell_angle_beta 90.00
_cell_angle_gamma 90.00
loop_
_atom_site_label
_atom_site_type_symbol
_atom_site_fract_x
_atom_site_fract_y
_atom_site_fract_z
Be1 Be 0.0000 0.0000 0.0000
Hg1 Hg 0.0000 0.0000 0.5846
Hg2 Hg 0.5000 0.5000 0.2536
Pt1 Pt 0.5000 0.5000 0.8654
```

=====

Model b:
BeHg2Pt | SCAN | PBEsol geometry

```
data_BeHg2Pt
_chemical_formula_sum 'Be1 Hg2 Pt1'
_symmetry_space_group_name_H-M 'P 1'
_symmetry_Int_Tables_number 1
_symmetry_space_group_name_Hall 'P 1'
_cell_length_a 5.1378
_cell_length_b 5.1378
_cell_length_c 5.1378
_cell_angle_alpha 139.79
_cell_angle_beta 131.42
_cell_angle_gamma 64.83
loop_
_atom_site_label
_atom_site_type_symbol
_atom_site_fract_x
_atom_site_fract_y
_atom_site_fract_z
Be1 Be 0.0000 0.0000 0.0000
Hg1 Hg 0.2168 0.7168 0.5000
Hg2 Hg 0.7832 0.2832 0.5000
Pt1 Pt 0.5000 0.5000 0.0000
```

=====

Of them, model a has the highest stability.

=====

Model a:
BeHg2Pt | SCAN | PBEsol geometry

```
data_BeHg2Pt
_chemical_formula_sum 'Be1 Hg2 Pt1'
_symmetry_space_group_name_H-M 'P 1'
_symmetry_Int_Tables_number 1
_symmetry_space_group_name_Hall 'P 1'
_cell_length_a 4.5304
_cell_length_b 4.5304
_cell_length_c 4.5304
_cell_angle_alpha 60.00
_cell_angle_beta 60.00
_cell_angle_gamma 60.00
loop_
_atom_site_label
_atom_site_type_symbol
_atom_site_fract_x
_atom_site_fract_y
_atom_site_fract_z
Be1 Be 0.0000 0.0000 0.0000
Hg1 Hg 0.2500 0.2500 0.2500
Hg2 Hg 0.5000 0.5000 0.5000
Pt1 Pt 0.7500 0.7500 0.7500
```

=====

Model b:
BeHg2Pt | SCAN | PBEsol geometry

```
data_BeHg2Pt
_chemical_formula_sum 'Be1 Hg2 Pt1'
_symmetry_space_group_name_H-M 'P 1'
_symmetry_Int_Tables_number 1
_symmetry_space_group_name_Hall 'P 1'
_cell_length_a 5.0497
_cell_length_b 5.0497
_cell_length_c 5.0497
_cell_angle_alpha 134.16
_cell_angle_beta 134.16
_cell_angle_gamma 66.84
loop_
_atom_site_label
_atom_site_type_symbol
_atom_site_fract_x
_atom_site_fract_y
_atom_site_fract_z
Be1 Be 0.0000 0.0000 0.0000
Hg1 Hg 0.5000 0.5000 0.0000
Hg2 Hg 0.7500 0.2500 0.5000
Pt1 Pt 0.2500 0.7500 0.5000
```

=====

Of them, model b has the highest stability.

=====

Model a:
Be2HgSb | SCAN | PBEsol geometry

```
data_Be2HgSb
_chemical_formula_sum 'Be2 Hg1 Sb1'
_symmetry_space_group_name_H-M 'P 1'
_symmetry_Int_Tables_number 1
_symmetry_space_group_name_Hall 'P 1'
_cell_length_a 2.9023
_cell_length_b 3.6187
_cell_length_c 6.3896
_cell_angle_alpha 90.00
_cell_angle_beta 90.00
_cell_angle_gamma 90.00
loop_
_atom_site_label
_atom_site_type_symbol
_atom_site_fract_x
_atom_site_fract_y
_atom_site_fract_z
Be1 Be 0.0000 0.0000 0.1978
Be2 Be 0.0000 0.0000 0.8022
Hg1 Hg 0.5000 0.5000 0.0000
Sb1 Sb 0.5000 0.5000 0.5000
```

=====

Model b:
Be2HgSb | SCAN | PBEsol geometry

```
data_Be2HgSb
_chemical_formula_sum 'Be2 Hg1 Sb1'
_symmetry_space_group_name_H-M 'P 1'
_symmetry_Int_Tables_number 1
_symmetry_space_group_name_Hall 'P 1'
_cell_length_a 4.6796
_cell_length_b 4.6796
_cell_length_c 3.0934
_cell_angle_alpha 90.00
_cell_angle_beta 90.00
_cell_angle_gamma 90.00
loop_
_atom_site_label
_atom_site_type_symbol
_atom_site_fract_x
_atom_site_fract_y
_atom_site_fract_z
Be1 Be 0.0000 0.5000 0.0000
Be2 Be 0.5000 0.0000 0.0000
Hg1 Hg 0.0000 0.0000 0.5000
Sb1 Sb 0.5000 0.5000 0.5000
```

=====

Of them, model a has the highest stability.

=====

Model a:
BeHg2Se | SCAN | PBEsol geometry

```
data_BeHg2Se
_chemical_formula_sum 'Be1 Hg2 Se1'
_symmetry_space_group_name_H-M 'P 1'
_symmetry_Int_Tables_number 1
_symmetry_space_group_name_Hall 'P 1'
_cell_length_a 4.8516
_cell_length_b 4.8516
_cell_length_c 4.8516
_cell_angle_alpha 120.53
_cell_angle_beta 120.53
_cell_angle_gamma 89.08
loop_
_atom_site_label
_atom_site_type_symbol
_atom_site_fract_x
_atom_site_fract_y
_atom_site_fract_z
Be1 Be 0.0000 0.0000 0.0000
Hg1 Hg 0.5000 0.5000 0.0000
Hg2 Hg 0.7500 0.2500 0.5000
Se1 Se 0.2500 0.7500 0.5000
```

=====

Model b:
BeHg2Se | SCAN | PBEsol geometry

```
data_BeHg2Se
_chemical_formula_sum 'Be1 Hg2 Se1'
_symmetry_space_group_name_H-M 'P 1'
_symmetry_Int_Tables_number 1
_symmetry_space_group_name_Hall 'P 1'
_cell_length_a 4.8365
_cell_length_b 4.8365
_cell_length_c 4.8365
_cell_angle_alpha 60.00
_cell_angle_beta 60.00
_cell_angle_gamma 60.00
loop_
_atom_site_label
_atom_site_type_symbol
_atom_site_fract_x
_atom_site_fract_y
_atom_site_fract_z
Be1 Be 0.0000 0.0000 0.0000
Hg1 Hg 0.2500 0.2500 0.2500
Hg2 Hg 0.7500 0.7500 0.7500
Se1 Se 0.5000 0.5000 0.5000
```

=====

Of them, model a has the highest stability.

=====

Model a:
BeHgSe2 | SCAN | PBEsol geometry

```
data_BeHgSe2
_chemical_formula_sum 'Be1 Hg1 Se2'
_symmetry_space_group_name_H-M 'P 1'
_symmetry_Int_Tables_number 1
_symmetry_space_group_name_Hall 'P 1'
_cell_length_a 4.7252
_cell_length_b 4.7252
_cell_length_c 4.7252
_cell_angle_alpha 60.00
_cell_angle_beta 60.00
_cell_angle_gamma 60.00
loop_
_atom_site_label
_atom_site_type_symbol
_atom_site_fract_x
_atom_site_fract_y
_atom_site_fract_z
Be1 Be 0.0000 0.0000 0.0000
Hg1 Hg 0.2500 0.2500 0.2500
Se1 Se 0.5000 0.5000 0.5000
Se2 Se 0.7500 0.7500 0.7500
```

=====

Model b:
BeHgSe2 | SCAN | PBEsol geometry

```
data_BeHgSe2
_chemical_formula_sum 'Be2 Hg2 Se4'
_symmetry_space_group_name_H-M 'P 1'
_symmetry_Int_Tables_number 1
_symmetry_space_group_name_Hall 'P 1'
_cell_length_a 6.7420
_cell_length_b 6.7420
_cell_length_c 6.7420
_cell_angle_alpha 130.03
_cell_angle_beta 130.03
_cell_angle_gamma 73.35
loop_
_atom_site_label
_atom_site_type_symbol
_atom_site_fract_x
_atom_site_fract_y
_atom_site_fract_z
Be1 Be 0.0000 0.0000 0.0000
Be2 Be 0.7500 0.2500 0.5000
Hg1 Hg 0.2500 0.7500 0.5000
Hg2 Hg 0.5000 0.5000 0.0000
Se1 Se 0.0623 0.6250 0.9373
Se2 Se 0.3750 0.3123 0.4373
Se3 Se 0.6877 0.1250 0.0627
Se4 Se 0.8750 0.9377 0.5627
```

=====

Of them, model b has the highest stability.